Entry 1:
{
  "formula": "Os2PbC2",
  "functional": "PBE",
  "state": "relaxed",
  "cell": [[-1.4069, 0.2969, 7.0056], [5.4761, -4.4161, 1.2869], [1.7137, 2.1982, 0.2510]],
  "species": ["Pb", "Pb", "C", "C", "C", "C", "Os", "Os", "Os", "Os"],
  "frac_coords": [[0.0000, 0.0000, 0.0000], [0.5000, 0.5000, 0.0000], [0.3910, 0.8910, 0.0000], [0.8910, 0.6090, 0.0000], [0.6090, 0.1090, 0.0000], [0.1090, 0.3910, 0.0000], [0.1251, 0.6251, 0.5000], [0.6251, 0.8749, 0.5000], [0.8749, 0.3749, 0.5000], [0.3749, 0.1251, 0.5000]],
  "dft_energy_ev_per_atom": -7.251,
  "dos_at_fermi_per_ev_cell": 2.976
}



Entry 2:
{
  "formula": "SbOsPbC2",
  "functional": "PBE",
  "state": "relaxed",
  "cell": [[-3.7784, -1.8165, -0.7149], [2.3937, -4.0830, -2.2765], [0.2316, -1.9636, 3.7653]],
  "species": ["Pb", "Sb", "C", "C", "Os"],
  "frac_coords": [[0.5000, 0.5000, 0.5000], [0.0000, 0.0000, 0.0000], [0.0000, 0.0000, 0.5000], [0.5000, 0.0000, 0.0000], [0.0000, 0.5000, 0.0000]],
  "e_form_raw_ev_per_atom": 2.5142,
  "dft_energy_ev_per_atom": -4.987,
  "dos_at_fermi_per_ev_cell": 6.221
}



Entry 3:
{
  "formula": "Sc2OsPbC",
  "functional": "PBE",
  "state": "relaxed",
  "cell": [[-3.6619, 3.8038, 0.8160], [-3.1990, -2.4761, -2.8137], [-1.7619, -2.6207, 4.3095]],
  "species": ["Pb", "Sc", "Sc", "C", "Os"],
  "frac_coords": [[0.0000, 0.0000, 0.0000], [0.0000, 0.0000, 0.5000], [0.5000, 0.0000, 0.0000], [0.5000, 0.5000, 0.5000], [0.0000, 0.5000, 0.0000]],
  "dft_energy_ev_per_atom": -4.931,
  "dos_at_fermi_per_ev_cell": 5.780
}